# 1
## LiUAu (PBE)

Data for LiUAu after structural relaxation.

Results
offset from the most stable computed form: 0 meV/atom

The structure in CIF format:
```
data_LiUAu
_cell_length_a 6.323
_cell_length_b 6.323
_cell_length_c 6.323
_cell_angle_alpha 90.00
_cell_angle_beta 90.00
_cell_angle_gamma 90.00
_symmetry_space_group_name_H-M 'F -4 3 m'
_symmetry_Int_Tables_number 216
_symmetry_space_group_name_Hall 'F -4 2 3'
loop_
_atom_site_label
_atom_site_type_symbol
_atom_site_fract_x
_atom_site_fract_y
_atom_site_fract_z
_atom_site_occupancy
Li1 Li 0.000 0.000 0.000 1
U1 U 0.250 0.250 0.250 1
Au1 Au 0.250 0.250 0.750 1
```

---

# 2
## Na2CdGa (PBE)

Data for Na2CdGa after structural relaxation.

The structure in CIF format:
```
data_Na2CdGa
_cell_length_a 4.957
_cell_length_b 5.053
_cell_length_c 7.305
_cell_angle_alpha 90.00
_cell_angle_beta 90.00
_cell_angle_gamma 90.00
_symmetry_space_group_name_H-M 'P m m a'
_symmetry_Int_Tables_number 51
_symmetry_space_group_name_Hall '-P 2a 2a'
loop_
_atom_site_label
_atom_site_type_symbol
_atom_site_fract_x
_atom_site_fract_y
_atom_site_fract_z
_atom_site_occupancy
Na1 Na 0.250 0.000 0.118 1
Na2 Na 0.250 0.500 0.366 1
Cd1 Cd 0.250 0.000 0.632 1
Ga1 Ga 0.250 0.500 0.889 1
```

---

# 3
## TmTeBr (PBE)

Data for TmTeBr after structural relaxation.

The structure in CIF format:
```
data_TmTeBr
_cell_length_a 7.570
_cell_length_b 8.289
_cell_length_c 7.280
_cell_angle_alpha 90.00
_cell_angle_beta 110.98
_cell_angle_gamma 90.00
_symmetry_space_group_name_H-M 'P 1 21/c 1'
_symmetry_Int_Tables_number 14
_symmetry_space_group_name_Hall '-P 2ybc'
loop_
_atom_site_label
_atom_site_type_symbol
_atom_site_fract_x
_atom_site_fract_y
_atom_site_fract_z
_atom_site_occupancy
Tm1 Tm 0.016 0.128 0.241 1
Te1 Te 0.258 0.117 0.004 1
Br1 Br 0.216 0.625 0.001 1
```

---

# 4
## Si2NiIr3 (PBE)

Data for Si2NiIr3 after structural relaxation.

The structure in CIF format:
```
data_Si2NiIr3
_cell_length_a 3.945
_cell_length_b 3.945
_cell_length_c 5.594
_cell_angle_alpha 90.00
_cell_angle_beta 90.00
_cell_angle_gamma 90.00
_symmetry_space_group_name_H-M 'P -4 m 2'
_symmetry_Int_Tables_number 115
_symmetry_space_group_name_Hall 'P -4 -2'
loop_
_atom_site_label
_atom_site_type_symbol
_atom_site_fract_x
_atom_site_fract_y
_atom_site_fract_z
_atom_site_occupancy
Si1 Si 0.000 0.500 0.249 1
Ni1 Ni 0.000 0.000 0.000 1
Ir1 Ir 0.000 0.000 0.500 1
Ir2 Ir 0.500 0.500 0.000 1
Ir3 Ir 0.500 0.500 0.500 1
```

---

# 5
## TlBi5Mo3 (PBE)

Data for TlBi5Mo3 after structural relaxation.

The structure in CIF format:
```
data_TlBi5Mo3
_cell_length_a 5.6644
_cell_length_b 5.6644
_cell_length_c 8.7175
_cell_angle_alpha 90.00
_cell_angle_beta 90.00
_cell_angle_gamma 120.00
_symmetry_space_group_name_H-M 'P 6/m m m'
_symmetry_Int_Tables_number 191
_symmetry_space_group_name_Hall '-P 6 2'
loop_
_atom_site_label
_atom_site_type_symbol
_atom_site_fract_x
_atom_site_fract_y
_atom_site_fract_z
_atom_site_occupancy
Tl1 Tl 0.0000 0.0000 0.0000 1
Bi1 Bi 0.0000 0.0000 0.5000 1
Bi2 Bi 0.3333 0.6667 0.2139 1
Mo1 Mo 0.0000 0.5000 0.5000 1
```

---

# 6
## PrSbAsO (PBE)

Data for PrSbAsO after structural relaxation.

Results
offset from the most stable computed form: 94 meV/atom

The structure in CIF format:
```
data_PrSbAsO
_cell_length_a 4.494
_cell_length_b 6.160
_cell_length_c 6.442
_cell_angle_alpha 90.00
_cell_angle_beta 90.00
_cell_angle_gamma 90.00
_symmetry_space_group_name_H-M 'P m c 21'
_symmetry_Int_Tables_number 26
_symmetry_space_group_name_Hall 'P 2c -2'
loop_
_atom_site_label
_atom_site_type_symbol
_atom_site_fract_x
_atom_site_fract_y
_atom_site_fract_z
_atom_site_occupancy
Pr1 Pr 0.000 0.232 0.000 1
Sb1 Sb 0.500 0.379 0.382 1
As1 As 0.500 0.079 0.695 1
O1 O 0.000 0.421 0.328 1
```

---

# 7
## Tm3Lu2ScSb2Os (PBE)

Data for Tm3Lu2ScSb2Os after structural relaxation.

The structure in CIF format:
```
data_Tm3Lu2ScSb2Os
_cell_length_a 4.114
_cell_length_b 13.809
_cell_length_c 8.065
_cell_angle_alpha 90.00
_cell_angle_beta 90.00
_cell_angle_gamma 90.00
_symmetry_space_group_name_H-M 'A m m 2'
_symmetry_Int_Tables_number 38
_symmetry_space_group_name_Hall 'A 2 -2'
loop_
_atom_site_label
_atom_site_type_symbol
_atom_site_fract_x
_atom_site_fract_y
_atom_site_fract_z
_atom_site_occupancy
Tm1 Tm 0.000 0.000 0.000 1
Tm2 Tm 0.000 0.119 0.638 1
Lu1 Lu 0.500 0.194 0.954 1
Sc1 Sc 0.500 0.000 0.372 1
Sb1 Sb 0.000 0.164 0.261 1
Os1 Os 0.500 0.000 0.762 1
```

---

# 8
## SmPu2As3 (PBE)

Data for SmPu2As3 after structural relaxation.

The structure in CIF format:
```
data_SmPu2As3
_cell_length_a 4.1676
_cell_length_b 4.1676
_cell_length_c 10.1520
_cell_angle_alpha 90.00
_cell_angle_beta 90.00
_cell_angle_gamma 120.00
_symmetry_space_group_name_H-M 'P -3 m 1'
_symmetry_Int_Tables_number 164
_symmetry_space_group_name_Hall '-P 3 2"'
loop_
_atom_site_label
_atom_site_type_symbol
_atom_site_fract_x
_atom_site_fract_y
_atom_site_fract_z
_atom_site_occupancy
Sm1 Sm 0.0000 0.0000 0.0000 1
Pu1 Pu 0.3333 0.6667 0.3350 1
As1 As 0.0000 0.0000 0.5000 1
As2 As 0.3333 0.6667 0.8269 1
```

---

# 9
## Tb7Pd3 (PBE)

Data for Tb7Pd3 after structural relaxation.

Results
energy of formation from the pure elements: -551 meV/atom

The structure in CIF format:
```
data_Tb7Pd3
_cell_length_a 9.9056
_cell_length_b 9.9056
_cell_length_c 6.2701
_cell_angle_alpha 90.00
_cell_angle_beta 90.00
_cell_angle_gamma 120.00
_symmetry_space_group_name_H-M 'P 63 m c'
_symmetry_Int_Tables_number 186
_symmetry_space_group_name_Hall 'P 6c -2c'
loop_
_atom_site_label
_atom_site_type_symbol
_atom_site_fract_x
_atom_site_fract_y
_atom_site_fract_z
_atom_site_occupancy
Tb1 Tb 0.0782 0.5391 0.0000 1
Tb2 Tb 0.1252 0.2504 0.7024 1
Tb3 Tb 0.3333 0.6667 0.5082 1
Pd1 Pd 0.1906 0.3811 0.2639 1
```

---

# 10
## ThAl8Fe4 (PBE)

Data for ThAl8Fe4 after structural relaxation.

The structure in CIF format:
```
data_ThAl8Fe4
_cell_length_a 8.788
_cell_length_b 8.788
_cell_length_c 5.027
_cell_angle_alpha 90.00
_cell_angle_beta 90.00
_cell_angle_gamma 90.00
_symmetry_space_group_name_H-M 'I 4/m m m'
_symmetry_Int_Tables_number 139
_symmetry_space_group_name_Hall '-I 4 2'
loop_
_atom_site_label
_atom_site_type_symbol
_atom_site_fract_x
_atom_site_fract_y
_atom_site_fract_z
_atom_site_occupancy
Th1 Th 0.000 0.000 0.000 1
Al1 Al 0.000 0.224 0.500 1
Al2 Al 0.000 0.345 0.000 1
Fe1 Fe 0.250 0.250 0.250 1
```

---

# 11
## BeSiPt2 (PBE)

Data for BeSiPt2 after structural relaxation.

The structure in CIF format:
```
data_BeSiPt2
_cell_length_a 6.074
_cell_length_b 6.074
_cell_length_c 6.074
_cell_angle_alpha 90.00
_cell_angle_beta 90.00
_cell_angle_gamma 90.00
_symmetry_space_group_name_H-M 'F -4 3 m'
_symmetry_Int_Tables_number 216
_symmetry_space_group_name_Hall 'F -4 2 3'
loop_
_atom_site_label
_atom_site_type_symbol
_atom_site_fract_x
_atom_site_fract_y
_atom_site_fract_z
_atom_site_occupancy
Be1 Be 0.000 0.000 0.000 1
Si1 Si 0.250 0.250 0.750 1
Pt1 Pt 0.000 0.000 0.500 1
Pt2 Pt 0.250 0.250 0.250 1
```

---

# 12
## LuCuAsPt (PBE)

Data for LuCuAsPt after structural relaxation.

Results
offset from the most stable computed form: 0 meV/atom

The structure in CIF format:
```
data_LuCuAsPt
_cell_length_a 6.557
_cell_length_b 6.557
_cell_length_c 6.557
_cell_angle_alpha 90.00
_cell_angle_beta 90.00
_cell_angle_gamma 90.00
_symmetry_space_group_name_H-M 'F -4 3 m'
_symmetry_Int_Tables_number 216
_symmetry_space_group_name_Hall 'F -4 2 3'
loop_
_atom_site_label
_atom_site_type_symbol
_atom_site_fract_x
_atom_site_fract_y
_atom_site_fract_z
_atom_site_occupancy
Lu1 Lu 0.000 0.000 0.000 1
Cu1 Cu 0.000 0.000 0.500 1
As1 As 0.250 0.250 0.250 1
Pt1 Pt 0.250 0.250 0.750 1
```

---

# 13
## CdInCuNi (PBE)

Data for CdInCuNi after structural relaxation.

Results
offset from the most stable computed form: 164 meV/atom

The structure in CIF format:
```
data_CdInCuNi
_cell_length_a 6.385
_cell_length_b 6.385
_cell_length_c 6.385
_cell_angle_alpha 90.00
_cell_angle_beta 90.00
_cell_angle_gamma 90.00
_symmetry_space_group_name_H-M 'F -4 3 m'
_symmetry_Int_Tables_number 216
_symmetry_space_group_name_Hall 'F -4 2 3'
loop_
_atom_site_label
_atom_site_type_symbol
_atom_site_fract_x
_atom_site_fract_y
_atom_site_fract_z
_atom_site_occupancy
Cd1 Cd 0.000 0.000 0.000 1
In1 In 0.250 0.250 0.250 1
Cu1 Cu 0.000 0.000 0.500 1
Ni1 Ni 0.250 0.250 0.750 1
```

---

# 14
## Ba3Ho2P4S16 (PBE)

Data for Ba3Ho2P4S16 after structural relaxation.

The structure in CIF format:
```
data_Ba3Ho2P4S16
_cell_length_a 19.289
_cell_length_b 10.348
_cell_length_c 12.683
_cell_angle_alpha 90.00
_cell_angle_beta 90.00
_cell_angle_gamma 90.00
_symmetry_space_group_name_H-M 'P b c n'
_symmetry_Int_Tables_number 60
_symmetry_space_group_name_Hall '-P 2n 2ab'
loop_
_atom_site_label
_atom_site_type_symbol
_atom_site_fract_x
_atom_site_fract_y
_atom_site_fract_z
_atom_site_occupancy
Ba1 Ba 0.000 0.118 0.250 1
Ba2 Ba 0.227 0.211 0.609 1
Ho1 Ho 0.073 0.372 0.887 1
P1 P 0.102 0.496 0.140 1
P2 P 0.131 0.063 0.952 1
S1 S 0.016 0.388 0.098 1
S2 S 0.032 0.121 0.915 1
S3 S 0.068 0.320 0.670 1
S4 S 0.147 0.070 0.113 1
S5 S 0.150 0.116 0.394 1
S6 S 0.151 0.435 0.271 1
S7 S 0.167 0.495 0.514 1
S8 S 0.191 0.210 0.886 1
```

---

# 15
## InCuSnTe2Se (PBE)

Data for InCuSnTe2Se after structural relaxation.

The structure in CIF format:
```
data_InCuSnTe2Se
_cell_length_a 4.156
_cell_length_b 13.530
_cell_length_c 11.301
_cell_angle_alpha 90.00
_cell_angle_beta 90.00
_cell_angle_gamma 90.00
_symmetry_space_group_name_H-M 'C m c m'
_symmetry_Int_Tables_number 63
_symmetry_space_group_name_Hall '-C 2c 2'
loop_
_atom_site_label
_atom_site_type_symbol
_atom_site_fract_x
_atom_site_fract_y
_atom_site_fract_z
_atom_site_occupancy
In1 In 0.000 0.235 0.250 1
Cu1 Cu 0.000 0.034 0.750 1
Sn1 Sn 0.000 0.500 0.000 1
Te1 Te 0.000 0.153 0.566 1
Se1 Se 0.000 0.432 0.750 1
```

---

# 16
## Er3Al3Cu2Ir (PBE)

Data for Er3Al3Cu2Ir after structural relaxation.

The structure in CIF format:
```
data_Er3Al3Cu2Ir
_cell_length_a 6.9879
_cell_length_b 6.9879
_cell_length_c 4.0395
_cell_angle_alpha 90.00
_cell_angle_beta 90.00
_cell_angle_gamma 120.00
_symmetry_space_group_name_H-M 'P -6 2 m'
_symmetry_Int_Tables_number 189
_symmetry_space_group_name_Hall 'P -6 -2'
loop_
_atom_site_label
_atom_site_type_symbol
_atom_site_fract_x
_atom_site_fract_y
_atom_site_fract_z
_atom_site_occupancy
Er1 Er 0.0000 0.4173 0.0000 1
Al1 Al 0.0000 0.7627 0.5000 1
Cu1 Cu 0.3333 0.6667 0.5000 1
Ir1 Ir 0.0000 0.0000 0.0000 1
```

---

# 17
## SiNi2GePd2 (PBE)

Data for SiNi2GePd2 after structural relaxation.

The structure in CIF format:
```
data_SiNi2GePd2
_cell_length_a 3.601
_cell_length_b 3.601
_cell_length_c 6.219
_cell_angle_alpha 90.00
_cell_angle_beta 90.00
_cell_angle_gamma 90.00
_symmetry_space_group_name_H-M 'P 4 m m'
_symmetry_Int_Tables_number 99
_symmetry_space_group_name_Hall 'P 4 -2'
loop_
_atom_site_label
_atom_site_type_symbol
_atom_site_fract_x
_atom_site_fract_y
_atom_site_fract_z
_atom_site_occupancy
Si1 Si 0.000 0.000 0.000 1
Ni1 Ni 0.000 0.500 0.234 1
Ge1 Ge 0.500 0.500 0.486 1
Pd1 Pd 0.000 0.000 0.614 1
Pd2 Pd 0.500 0.500 0.887 1
```

---

# 18
## ZrTe (PBE)

Data for ZrTe after structural relaxation.

The structure in CIF format:
```
data_ZrTe
_cell_length_a 7.403
_cell_length_b 4.989
_cell_length_c 8.630
_cell_angle_alpha 90.00
_cell_angle_beta 107.74
_cell_angle_gamma 90.00
_symmetry_space_group_name_H-M 'P 1 21/m 1'
_symmetry_Int_Tables_number 11
_symmetry_space_group_name_Hall '-P 2yb'
loop_
_atom_site_label
_atom_site_type_symbol
_atom_site_fract_x
_atom_site_fract_y
_atom_site_fract_z
_atom_site_occupancy
Zr1 Zr 0.023 0.250 0.350 1
Zr2 Zr 0.029 0.750 0.107 1
Zr3 Zr 0.354 0.750 0.962 1
Te1 Te 0.241 0.750 0.454 1
Te2 Te 0.286 0.250 0.750 1
Te3 Te 0.313 0.250 0.168 1
```

---

# 19
## HfBeCo2 (PBE)

Data for HfBeCo2 after structural relaxation.

The structure in CIF format:
```
data_HfBeCo2
_cell_length_a 5.835
_cell_length_b 5.835
_cell_length_c 5.835
_cell_angle_alpha 90.00
_cell_angle_beta 90.00
_cell_angle_gamma 90.00
_symmetry_space_group_name_H-M 'F -4 3 m'
_symmetry_Int_Tables_number 216
_symmetry_space_group_name_Hall 'F -4 2 3'
loop_
_atom_site_label
_atom_site_type_symbol
_atom_site_fract_x
_atom_site_fract_y
_atom_site_fract_z
_atom_site_occupancy
Hf1 Hf 0.000 0.000 0.000 1
Be1 Be 0.250 0.250 0.750 1
Co1 Co 0.000 0.000 0.500 1
Co2 Co 0.250 0.250 0.250 1
```

---

# 20
## YScCdIn (PBE)

Data for YScCdIn after structural relaxation.

Results
offset from the most stable computed form: 0 meV/atom

The structure in CIF format:
```
data_YScCdIn
_cell_length_a 7.302
_cell_length_b 7.302
_cell_length_c 7.302
_cell_angle_alpha 90.00
_cell_angle_beta 90.00
_cell_angle_gamma 90.00
_symmetry_space_group_name_H-M 'F -4 3 m'
_symmetry_Int_Tables_number 216
_symmetry_space_group_name_Hall 'F -4 2 3'
loop_
_atom_site_label
_atom_site_type_symbol
_atom_site_fract_x
_atom_site_fract_y
_atom_site_fract_z
_atom_site_occupancy
Y1 Y 0.000 0.000 0.000 1
Sc1 Sc 0.000 0.000 0.500 1
Cd1 Cd 0.250 0.250 0.250 1
In1 In 0.250 0.250 0.750 1
```

---

What did we get for uncorrected energy? Answer: -4.979, -1.726, -4.623, -7.663, -5.838, -5.887, -6.001, -9.073, -5.344, -5.838, -5.355, -5.297, -3.068, -5.275, -3.533, -5.185, -5.823, -6.523, -6.935, -4.514 eV per atom, in the order shown.